Run P
VASP calculation (PBE) on a geometry-optimized LuOsPd structure.

a b c (Å): 4.4445 4.4445 4.4445
angles (deg): 60.00 60.00 60.00
Sites, in units of the cell vectors:
Lu (0.0000, 0.0000, 0.0000)
Pd (0.7500, 0.7500, 0.7500)
Os (0.2500, 0.2500, 0.2500)

Properties
spin magnetization = 0.041 μB per cell
calculated volume = 20.69 Å³/atom

---

Run Q
VASP calculation (PBE) on a geometry-optimized LuOsPd structure.

a b c (Å): 4.4546 4.4546 4.4546
angles (deg): 60.00 60.00 60.00
Sites, in units of the cell vectors:
Pd (0.7500, 0.7500, 0.7500)
Lu (0.2500, 0.2500, 0.2500)
Os (0.0000, 0.0000, 0.0000)

Properties
spin magnetization = 1.407 μB per cell
calculated volume = 20.83 Å³/atom

---

Most stable: run Q

---

Run P
VASP calculation (PBE) on a geometry-optimized LuReOs structure.

a b c (Å): 4.4276 4.4276 4.4276
angles (deg): 60.00 60.00 60.00
Sites, in units of the cell vectors:
Lu (0.0000, 0.0000, 0.0000)
Os (0.2500, 0.2500, 0.2500)
Re (0.7500, 0.7500, 0.7500)

Properties
spin magnetization = 2.243 μB per cell
calculated volume = 20.46 Å³/atom

---

Run Q
VASP calculation (PBE) on a geometry-optimized LuReOs structure.

a b c (Å): 4.4005 4.4005 4.4005
angles (deg): 60.00 60.00 60.00
Sites, in units of the cell vectors:
Os (0.0000, 0.0000, 0.0000)
Re (0.7500, 0.7500, 0.7500)
Lu (0.2500, 0.2500, 0.2500)

Properties
spin magnetization = 0.003 μB per cell
calculated volume = 20.08 Å³/atom

---

Most stable: run Q

---

Run P
VASP calculation (PBE) on a geometry-optimized Lu3Sc3Sb2Os structure.

a b c (Å): 7.8844 7.8844 4.0286
angles (deg): 90.00 90.00 120.00
Sites, in units of the cell vectors:
Sc (0.6128, 0.6128, 0.0000)
Sc (0.3872, 0.0000, 0.0000)
Sc (0.0000, 0.3872, 0.0000)
Lu (0.2417, 0.2417, 0.5000)
Os (0.0000, 0.0000, 0.0000)
Sb (0.3333, 0.6667, 0.5000)
Lu (0.7583, 0.0000, 0.5000)
Lu (0.0000, 0.7583, 0.5000)
Sb (0.6667, 0.3333, 0.5000)

Properties
spin magnetization = 0.045 μB per cell
calculated volume = 24.10 Å³/atom

---

Run Q
VASP calculation (PBE) on a geometry-optimized Lu3Sc3Sb2Os structure.

a b c (Å): 7.7459 7.7459 4.1300
angles (deg): 90.00 90.00 120.00
Sites, in units of the cell vectors:
Sb (0.3333, 0.6667, 0.5000)
Sc (0.0000, 0.7688, 0.5000)
Lu (0.0000, 0.3892, 0.0000)
Lu (0.3892, 0.0000, 0.0000)
Os (0.0000, 0.0000, 0.0000)
Lu (0.6108, 0.6108, 0.0000)
Sb (0.6667, 0.3333, 0.5000)
Sc (0.2312, 0.2312, 0.5000)
Sc (0.7688, 0.0000, 0.5000)

Properties
spin magnetization = 0.021 μB per cell
calculated volume = 23.84 Å³/atom

---

Most stable: run Q

---

Run P
VASP calculation (PBE) on a geometry-optimized TmLuSi2Os structure.

a b c (Å): 5.6425 5.6425 9.8208
angles (deg): 116.34 116.34 43.63
Sites, in units of the cell vectors:
Si (0.3586, 0.3586, 0.4395)
Os (0.7309, 0.7309, 0.3710)
Si (0.4937, 0.4937, 0.1230)
Os (0.2691, 0.2691, 0.6290)
Tm (0.9927, 0.9927, 0.3211)
Si (0.6414, 0.6414, 0.5605)
Si (0.5063, 0.5063, 0.8770)
Tm (0.0073, 0.0073, 0.6789)
Lu (0.8152, 0.8152, 0.8888)
Lu (0.1848, 0.1848, 0.1112)

Properties
spin magnetization = 0.202 μB per cell
calculated volume = 18.95 Å³/atom

---

Run Q
VASP calculation (PBE) on a geometry-optimized TmLuSi2Os structure.

a b c (Å): 5.6247 5.6247 9.8070
angles (deg): 116.12 116.12 43.83
Sites, in units of the cell vectors:
Si (0.5069, 0.5069, 0.8766)
Lu (0.9932, 0.9932, 0.3219)
Tm (0.1854, 0.1854, 0.1111)
Os (0.2686, 0.2686, 0.6288)
Si (0.4931, 0.4931, 0.1234)
Tm (0.8146, 0.8146, 0.8889)
Si (0.3601, 0.3601, 0.4399)
Os (0.7314, 0.7314, 0.3712)
Si (0.6399, 0.6399, 0.5601)
Lu (0.0068, 0.0068, 0.6781)

Properties
spin magnetization = 0.136 μB per cell
calculated volume = 18.91 Å³/atom

---

Most stable: run Q

---

Run P
VASP calculation (PBE) on a geometry-optimized YLuSi2Os structure.

a b c (Å): 5.7202 5.7202 9.9037
angles (deg): 116.86 116.86 43.07
Sites, in units of the cell vectors:
Os (0.7297, 0.7297, 0.3708)
Si (0.4953, 0.4953, 0.1227)
Si (0.3558, 0.3558, 0.4393)
Lu (0.8176, 0.8176, 0.8894)
Y (0.9891, 0.9891, 0.3183)
Os (0.2703, 0.2703, 0.6292)
Si (0.6442, 0.6442, 0.5607)
Si (0.5047, 0.5047, 0.8773)
Y (0.0109, 0.0109, 0.6817)
Lu (0.1824, 0.1824, 0.1106)

Properties
spin magnetization = 0.187 μB per cell
calculated volume = 19.34 Å³/atom

---

Run Q
VASP calculation (PBE) on a geometry-optimized YLuSi2Os structure.

a b c (Å): 5.6559 5.6559 9.9035
angles (deg): 116.20 116.20 43.67
Sites, in units of the cell vectors:
Lu (0.9947, 0.9947, 0.8242)
Si (0.3592, 0.3592, 0.9402)
Os (0.2679, 0.2679, 0.1261)
Si (0.5047, 0.5047, 0.3739)
Os (0.7321, 0.7321, 0.8739)
Si (0.6408, 0.6408, 0.0598)
Y (0.1871, 0.1871, 0.6105)
Si (0.4953, 0.4953, 0.6261)
Lu (0.0053, 0.0053, 0.1758)
Y (0.8129, 0.8129, 0.3895)

Properties
spin magnetization = 0.062 μB per cell
calculated volume = 19.24 Å³/atom

---

Most stable: run Q

---

Run P
VASP calculation (PBE) on a geometry-optimized TbLuTe3Pb structure.

a b c (Å): 7.9401 7.9401 11.8101
angles (deg): 90.00 90.00 148.38
Sites, in units of the cell vectors:
Pb (0.7743, 0.2257, 0.2500)
Lu (0.0000, 0.0000, 0.0000)
Te (0.9220, 0.0780, 0.7500)
Te (0.3588, 0.6412, 0.4795)
Te (0.6412, 0.3588, 0.9795)
Te (0.3588, 0.6412, 0.0205)
Te (0.6412, 0.3588, 0.5205)
Tb (0.5576, 0.4424, 0.7500)
Lu (0.0000, 0.0000, 0.5000)
Pb (0.2257, 0.7743, 0.7500)
Tb (0.4424, 0.5576, 0.2500)
Te (0.0780, 0.9220, 0.2500)

Properties
spin magnetization = 0.025 μB per cell
calculated volume = 32.53 Å³/atom

---

Run Q
VASP calculation (PBE) on a geometry-optimized TbLuTe3Pb structure.

a b c (Å): 7.9695 7.9695 11.8424
angles (deg): 90.00 90.00 148.21
Sites, in units of the cell vectors:
Lu (0.9584, 0.0416, 0.7500)
Pb (0.7097, 0.2903, 0.2500)
Pb (0.2903, 0.7097, 0.7500)
Lu (0.0416, 0.9584, 0.2500)
Te (0.8573, 0.1427, 0.9610)
Te (0.5867, 0.4133, 0.7500)
Tb (0.5000, 0.5000, 0.0000)
Te (0.1427, 0.8573, 0.0390)
Te (0.8573, 0.1427, 0.5390)
Tb (0.5000, 0.5000, 0.5000)
Te (0.1427, 0.8573, 0.4610)
Te (0.4133, 0.5867, 0.2500)

Properties
spin magnetization = 0.022 μB per cell
calculated volume = 33.02 Å³/atom

---

Most stable: run Q

---

Run P
VASP calculation (PBE) on a geometry-optimized YLuTe3Pb structure.

a b c (Å): 7.9323 7.9323 11.8317
angles (deg): 90.00 90.00 148.07
Sites, in units of the cell vectors:
Lu (0.0394, 0.9606, 0.7500)
Te (0.8581, 0.1419, 0.4606)
Te (0.5886, 0.4114, 0.2500)
Lu (0.9606, 0.0394, 0.2500)
Te (0.1419, 0.8581, 0.5394)
Te (0.1419, 0.8581, 0.9606)
Te (0.8581, 0.1419, 0.0394)
Te (0.4114, 0.5886, 0.7500)
Y (0.5000, 0.5000, 0.5000)
Pb (0.2927, 0.7073, 0.2500)
Y (0.5000, 0.5000, 0.0000)
Pb (0.7073, 0.2927, 0.7500)

Properties
spin magnetization = 0.015 μB per cell
calculated volume = 32.81 Å³/atom

---

Run Q
VASP calculation (PBE) on a geometry-optimized YLuTe3Pb structure.

a b c (Å): 7.9270 7.9270 11.8253
angles (deg): 90.00 90.00 148.31
Sites, in units of the cell vectors:
Te (0.8597, 0.1403, 0.0232)
Pb (0.2757, 0.7243, 0.2500)
Te (0.1403, 0.8597, 0.9768)
Y (0.0557, 0.9443, 0.7500)
Y (0.9443, 0.0557, 0.2500)
Te (0.1403, 0.8597, 0.5232)
Lu (0.5000, 0.5000, 0.5000)
Lu (0.5000, 0.5000, 0.0000)
Pb (0.7243, 0.2757, 0.7500)
Te (0.4214, 0.5786, 0.7500)
Te (0.8597, 0.1403, 0.4768)
Te (0.5786, 0.4214, 0.2500)

Properties
spin magnetization = 0.029 μB per cell
calculated volume = 32.53 Å³/atom

---

Most stable: run P

---

Run P
VASP calculation (PBE) on a geometry-optimized LuZrTe3Pb structure.

a b c (Å): 8.0700 8.0700 11.4916
angles (deg): 90.00 90.00 151.47
Sites, in units of the cell vectors:
Te (0.3609, 0.6391, 0.9976)
Lu (0.4028, 0.5972, 0.7500)
Zr (0.0000, 0.0000, 0.0000)
Te (0.6391, 0.3609, 0.4976)
Zr (0.0000, 0.0000, 0.5000)
Te (0.3609, 0.6391, 0.5024)
Te (0.0432, 0.9568, 0.7500)
Pb (0.2636, 0.7364, 0.2500)
Te (0.9568, 0.0432, 0.2500)
Pb (0.7364, 0.2636, 0.7500)
Lu (0.5972, 0.4028, 0.2500)
Te (0.6391, 0.3609, 0.0024)

Properties
spin magnetization = 0.033 μB per cell
calculated volume = 29.79 Å³/atom

---

Run Q
VASP calculation (PBE) on a geometry-optimized LuZrTe3Pb structure.

a b c (Å): 8.0281 8.0281 11.6210
angles (deg): 90.00 90.00 150.47
Sites, in units of the cell vectors:
Te (0.6407, 0.3593, 0.5282)
Zr (0.5565, 0.4435, 0.7500)
Pb (0.2141, 0.7859, 0.7500)
Te (0.3593, 0.6407, 0.0282)
Te (0.6407, 0.3593, 0.9718)
Lu (0.0000, 0.0000, 0.5000)
Te (0.9253, 0.0747, 0.7500)
Te (0.0747, 0.9253, 0.2500)
Pb (0.7859, 0.2141, 0.2500)
Lu (0.0000, 0.0000, 0.0000)
Zr (0.4435, 0.5565, 0.2500)
Te (0.3593, 0.6407, 0.4718)

Properties
spin magnetization = 0.028 μB per cell
calculated volume = 30.76 Å³/atom

---

Most stable: run Q